No. 1
The following is a GGA-PBEsol calculation of crystalline ZrScVNi3 at its relaxed geometry, from Alexandria via LeMat-Bulk.

abc: 4.9874 4.9874 11.6982
angles: 90.00 90.00 120.00
Closest atoms and distances in Å follow each position.
Space group R3m (No. 160, hexagonal axes)
Asymmetric unit:
Zr1 0.0000 0.0000 0.0000 [3 per cell]  9 Ni 2.78-2.92, 3 V 2.91, 4 Sc 3.01
Sc1 0.0000 0.0000 0.7427 [3 per cell]  9 Ni 2.80-2.91, 3 V 2.92, 4 Zr 3.01
V1 0.0000 0.0000 0.3695 [3 per cell]  6 Ni 2.42-2.43
Ni1 0.1669 0.3339 0.2035 [9 per cell]  2 V 2.42-2.43, 4 Ni 2.49-2.50

Output
Total magnetic moment in μB/f.u.: 0.00
E_tot in eV per atom: -7.652


No. 2
The following is a GGA-PBEsol calculation of crystalline LiFe2Pb at its relaxed geometry, from Alexandria via LeMat-Bulk.

abc: 2.8785 4.5313 4.6839
angles: 90.00 93.49 90.00
Closest atoms and distances in Å follow each position.
Space group P2/m (No. 10)
Asymmetric unit:
Li1 0.0000 0.0000 0.0000 [1 per cell]  4 Fe 2.60, 4 Pb 2.67-2.82, 2 Li 2.88
Fe1 0.2600 0.5000 0.7867 [2 per cell]  2 Fe 2.36-2.57, 2 Li 2.60
Pb1 0.5000 0.0000 0.5000 [1 per cell]  4 Li 2.67-2.82, 4 Fe 2.74, 2 Pb 2.88

Output
Total magnetic moment in μB/f.u.: 4.87
E_tot in eV per atom: -5.514


No. 3
The following is a GGA-PBEsol calculation of crystalline Pt2RhCl at its relaxed geometry, from Alexandria via LeMat-Bulk.

abc: 3.8536 3.8536 8.1653
angles: 90.00 90.00 90.00
Closest atoms and distances in Å follow each position.
Space group I4/mmm (No. 139)
Asymmetric unit:
Pt1 0.0000 0.5000 0.2500 [4 per cell]  4 Pt 2.72, 4 Cl 2.81, 4 Rh 2.81
Rh1 0.0000 0.0000 0.0000 [2 per cell]  4 Cl 2.72, 8 Pt 2.81
Cl1 0.0000 0.0000 0.5000 [2 per cell]  4 Rh 2.72, 8 Pt 2.81

Output
Energy relative to the elements, uncorrected in meV/atom: 722
Relative energy among the computed polymorphs in meV per atom: 510
Total magnetic moment in μB/f.u.: 0.00


No. 4
The following is a GGA-PBEsol calculation of crystalline Ba4As at its relaxed geometry, from Alexandria via LeMat-Bulk.

abc: 10.7484 10.7484 4.1585
angles: 90.00 90.00 90.00
Closest atoms and distances in Å follow each position.
Space group I4/m (No. 87)
Asymmetric unit:
Ba1 0.0546 0.7637 0.0000 [8 per cell]  2 As 3.33, 2 Ba 3.69
As1 0.0000 0.0000 0.5000 [2 per cell]  8 Ba 3.33

Output
Total magnetic moment in μB/f.u.: 0.00
E_tot in eV per atom: -3.217


Q: Look up the total magnetic moment of the first one.
A: 0.00 μB/f.u.


Please write out number 4 again, unchanged.
The following is a GGA-PBEsol calculation of crystalline Ba4As at its relaxed geometry, from Alexandria via LeMat-Bulk.

abc: 10.7484 10.7484 4.1585
angles: 90.00 90.00 90.00
Closest atoms and distances in Å follow each position.
Space group I4/m (No. 87)
Asymmetric unit:
Ba1 0.0546 0.7637 0.0000 [8 per cell]  2 As 3.33, 2 Ba 3.69
As1 0.0000 0.0000 0.5000 [2 per cell]  8 Ba 3.33

Output
Total magnetic moment in μB/f.u.: 0.00
E_tot in eV per atom: -3.217


Q: The highest total magnetic moment belongs to which entry?
A: LiFe2Pb